# Pm4AsPb2Se (PBE-GGA, relaxed)
# VASP energy = -43.31 eV per cell
# uncorrected formation energy = -1.0951 eV/atom
data_Pm4AsPb2Se
_cell_length_a 7.3115
_cell_length_b 4.2079
_cell_length_c 8.0802
_cell_angle_alpha 90.00
_cell_angle_beta 107.41
_cell_angle_gamma 90.00
_space_group_name_H-M_alt 'P 1 2/m 1'
_space_group_IT_number 10
loop_
_space_group_symop_operation_xyz
'x,y,z'
'-x,-y,-z'
'-x,y,-z'
'x,-y,z'
loop_
_atom_site_label
_atom_site_fract_x
_atom_site_fract_y
_atom_site_fract_z
_atom_site_occupancy
Pm1 0.2364 0.0000 0.2202 1
Pm2 0.2555 0.5000 0.7762 1
As1 0.0000 0.5000 0.0000 1
Pb1 0.0000 0.0000 0.5000 1
Pb2 0.5000 0.5000 0.5000 1
Se1 0.5000 0.0000 0.0000 1



# Be3SbIr (PBE-GGA, relaxed)
# VASP energy = -22.39 eV per cell
# uncorrected formation energy = 0.3535 eV/atom
data_Be3SbIr
_cell_length_a 4.3100
_cell_length_b 4.3100
_cell_length_c 4.3100
_cell_angle_alpha 90.00
_cell_angle_beta 90.00
_cell_angle_gamma 90.00
_space_group_name_H-M_alt 'P m -3 m'
_space_group_IT_number 221
_space_group_name_Hall '-P 4 2 3'
loop_
_atom_site_label
_atom_site_fract_x
_atom_site_fract_y
_atom_site_fract_z
_atom_site_occupancy
Be1 0.0000 0.0000 0.5000 1
Sb1 0.5000 0.5000 0.5000 1
Ir1 0.0000 0.0000 0.0000 1



# PaTe2Cl8 (PBE-GGA, relaxed)
# VASP energy = -85.19 eV per cell
# uncorrected formation energy = -1.0949 eV/atom
data_PaTe2Cl8
_cell_length_a 15.5325
_cell_length_b 6.6589
_cell_length_c 8.5092
_cell_angle_alpha 90.00
_cell_angle_beta 109.25
_cell_angle_gamma 90.00
_space_group_name_H-M_alt 'C 1 2/m 1'
_space_group_IT_number 12
loop_
_space_group_symop_operation_xyz
'x,y,z'
'-x,-y,-z'
'-x,y,-z'
'x,-y,z'
'x+1/2,y+1/2,z'
'-x+1/2,-y+1/2,-z'
'-x+1/2,y+1/2,-z'
'x+1/2,-y+1/2,z'
loop_
_atom_site_label
_atom_site_fract_x
_atom_site_fract_y
_atom_site_fract_z
_atom_site_occupancy
Pa1 0.0000 0.0000 0.0000 1
Te1 0.2360 0.0000 0.5057 1
Cl1 0.0169 0.2558 0.7948 1
Cl2 0.1798 0.0000 0.1523 1
Cl3 0.2319 0.5000 0.2043 1



# SrCoBr (PBE-GGA, relaxed)
# VASP energy = -48.72 eV per cell
# uncorrected formation energy = -0.5728 eV/atom
data_SrCoBr
_cell_length_a 9.6120
_cell_length_b 4.0515
_cell_length_c 9.5071
_cell_angle_alpha 90.00
_cell_angle_beta 108.25
_cell_angle_gamma 90.00
_space_group_name_H-M_alt 'C 1 m 1'
_space_group_IT_number 8
loop_
_space_group_symop_operation_xyz
'x,y,z'
'x,-y,z'
'x+1/2,y+1/2,z'
'x+1/2,-y+1/2,z'
loop_
_atom_site_label
_atom_site_fract_x
_atom_site_fract_y
_atom_site_fract_z
_atom_site_occupancy
Sr1 0.0000 0.0000 0.0000 1
Sr2 0.0502 0.0000 0.5245 1
Co1 0.1380 0.5000 0.8182 1
Co2 0.2490 0.0000 0.8299 1
Br1 0.0904 0.5000 0.2877 1
Br2 0.3793 0.0000 0.6378 1



For the records above, the corresponding N(E_F) values read 2.4 2.3 5.1 3.4 states/eV/cell.